Record 1
Density functional theory data (GGA-PBE) for crystalline Dy2Co2B2CN at its relaxed geometry.

a b c (Å): 3.520 3.520 7.498
angles (deg): 90.00 90.00 90.00
Positions (direct):
1 Co 0.000 0.500 0.498
2 Dy 0.000 0.000 0.837
3 B 0.500 0.500 0.647
4 C 0.500 0.500 0.850
5 Dy 0.500 0.500 0.172
6 B 0.000 0.000 0.348
7 Co 0.500 0.000 0.498
8 N 0.000 0.000 0.151

The value obtained for the total energy is -7.555 eV per atom.

---

Record 2
Density functional theory data (GGA-PBE) for crystalline Sm2DyCo2B2C3 at its relaxed geometry.

a b c (Å): 10.584 10.584 10.584
angles (deg): 160.34 160.34 27.94
Last column: magnetic moment on the atom in μB.
Positions (direct):
1 C 0.122 0.122 0.000  0.04
2 Sm 0.625 0.625 0.000  -0.01
3 B 0.196 0.196 0.000  -0.03
4 Dy 0.000 0.000 0.000  0.00
5 Sm 0.375 0.375 0.000  -0.01
6 Co 0.250 0.750 0.500  0.62
7 C 0.878 0.878 0.000  0.04
8 Co 0.750 0.250 0.500  0.62
9 B 0.804 0.804 0.000  -0.03
10 C 0.500 0.500 0.000  0.04

The value obtained for the total energy is -7.171 eV per atom.

---

Record 3
Density functional theory data (GGA-PBE) for crystalline DyYCo2B2C2 at its relaxed geometry.

a b c (Å): 3.548 3.548 7.652
angles (deg): 90.00 90.00 90.00
Last column: magnetic moment on the atom in μB.
Positions (direct):
1 B 0.000 0.000 0.150  -0.03
2 C 0.000 0.000 0.347  0.02
3 Co 0.500 0.000 0.000  0.53
4 Co 0.000 0.500 0.000  0.54
5 B 0.500 0.500 0.850  -0.03
6 Dy 0.500 0.500 0.334  -0.01
7 Y 0.000 0.000 0.666  -0.01
8 C 0.500 0.500 0.653  0.02

The value obtained for the total energy is -7.546 eV per atom.

---

Copy entry 2 word for word.
Density functional theory data (GGA-PBE) for crystalline Sm2DyCo2B2C3 at its relaxed geometry.

a b c (Å): 10.584 10.584 10.584
angles (deg): 160.34 160.34 27.94
Last column: magnetic moment on the atom in μB.
Positions (direct):
1 C 0.122 0.122 0.000  0.04
2 Sm 0.625 0.625 0.000  -0.01
3 B 0.196 0.196 0.000  -0.03
4 Dy 0.000 0.000 0.000  0.00
5 Sm 0.375 0.375 0.000  -0.01
6 Co 0.250 0.750 0.500  0.62
7 C 0.878 0.878 0.000  0.04
8 Co 0.750 0.250 0.500  0.62
9 B 0.804 0.804 0.000  -0.03
10 C 0.500 0.500 0.000  0.04

The value obtained for the total energy is -7.171 eV per atom.

---

Repeat the third record exactly.
Density functional theory data (GGA-PBE) for crystalline DyYCo2B2C2 at its relaxed geometry.

a b c (Å): 3.548 3.548 7.652
angles (deg): 90.00 90.00 90.00
Last column: magnetic moment on the atom in μB.
Positions (direct):
1 B 0.000 0.000 0.150  -0.03
2 C 0.000 0.000 0.347  0.02
3 Co 0.500 0.000 0.000  0.53
4 Co 0.000 0.500 0.000  0.54
5 B 0.500 0.500 0.850  -0.03
6 Dy 0.500 0.500 0.334  -0.01
7 Y 0.000 0.000 0.666  -0.01
8 C 0.500 0.500 0.653  0.02

The value obtained for the total energy is -7.546 eV per atom.